Compound: Cs4Pa3OsN8
Source: Alexandria
Functional: PBE-GGA
Structure: optimized geometry

POSCAR file:
```
Cs4Pa3OsN8
1.0
7.0558 0.0000 0.0000
0.0000 8.1003 0.7009
-3.5279 -3.5053 5.0027
Cs Pa Os N
4 3 1 8
Cartesian
3.5279 0.0000 0.0000
1.7639 -1.7526 2.5014
0.0000 0.0000 0.0000
-1.7639 -1.7526 2.5014
3.5279 4.0502 0.3504
1.7639 2.2975 2.8518
-1.7639 2.2975 2.8518
0.0000 4.0502 0.3504
-1.8429 1.9486 5.1485
0.0000 3.7800 2.5344
0.0000 0.8737 3.0974
1.8429 1.9486 5.1485
1.6850 2.6465 0.5550
3.5279 3.7214 2.6062
3.5279 0.8150 3.1692
5.3708 2.6465 0.5550
```

Results
**M_tot**: 2.67 μB/cell
**Energy relative to the elements, uncorrected**: -0.59 eV per atom
**Uncorrected energy**: -7.45 eV/atom

Compound: BaReN3
Source: Alexandria
Functional: PBE-GGA
Structure: optimized geometry

POSCAR file:
```
BaReN3
1.0
-2.1948 -4.7509 4.0425
1.2834 -1.0667 6.3988
-3.9871 0.3996 5.2606
Re Ba N
2 2 6
Cartesian
-1.7251 -1.9080 5.5296
-3.1735 -3.5100 10.1723
-0.5996 -0.6632 1.9219
-4.2989 -4.7549 13.7800
-3.5287 -2.3481 5.7612
-1.4700 -0.7311 6.9614
-3.9940 -1.9680 9.5023
-3.4285 -4.6869 8.7405
-1.3699 -3.0700 9.9407
-0.9045 -3.4501 6.1996
```

Results
**M_tot**: 0.00 μB/cell
**Energy relative to the elements, uncorrected**: -0.26 eV per atom
**Uncorrected energy**: -8.13 eV/atom

Compound: LaScCd
Source: Alexandria
Functional: PBE-GGA
Structure: optimized geometry

POSCAR file:
```
LaScCd
1.0
3.4152 0.0000 0.0000
0.0000 3.4152 0.0000
-1.7076 -1.7076 13.9031
Sc Cd La
2 2 2
Cartesian
0.0000 0.0000 8.0109
1.7076 1.7076 5.8922
0.0000 0.0000 3.9791
1.7076 1.7076 9.9239
1.7076 1.7076 1.5874
0.0000 0.0000 12.3157
```

Results
**ΔE_f**: -0.1079 eV per atom
**Energy relative to the lowest polymorph listed for this composition**: 0.065 eV per atom
**M_tot**: 0.62 μB/cell
**Uncorrected energy**: -4.17 eV/atom

Compound: ReAgCl2
Source: Alexandria
Functional: PBE-GGA
Structure: optimized geometry

POSCAR file:
```
ReAgCl2
1.0
-1.4599 -1.9006 3.2783
1.4091 -2.4168 -0.7737
4.6121 2.1690 3.3114
Re Ag Cl
1 1 2
Cartesian
0.7753 -1.0123 2.2736
3.7859 -1.1361 3.5425
0.4153 -0.4942 -0.1016
2.5952 0.3703 1.3704
```

Results
**Energy relative to the lowest polymorph listed for this composition**: 0.314 eV per atom
**M_tot**: 0.00 μB/cell
**Energy relative to the elements, uncorrected**: 0.50 eV per atom
**Uncorrected energy**: -4.25 eV/atom

Compound: Mn2AsOs
Source: Alexandria
Functional: PBE-GGA
Structure: optimized geometry

POSCAR file:
```
Mn2AsOs
1.0
-0.9351 -0.9942 2.3378
-1.5926 -0.4615 -2.1397
4.1077 -7.3336 -1.4756
As Mn Os
1 2 1
Cartesian
1.9121 -6.3980 -1.0419
0.0236 -0.0421 -0.0085
-0.2642 -2.5126 -0.2601
1.9624 -3.5034 -0.7049
```

Results
**ΔE_f**: 0.4780 eV per atom
**M_tot**: 4.60 μB/cell
**Uncorrected energy**: -8.08 eV/atom

Compound: Nd6Bi2PbSe3
Source: Alexandria
Functional: PBE-GGA
Structure: optimized geometry

POSCAR file:
```
Nd6Bi2PbSe3
1.0
-2.0750 3.9168 -0.0955
-7.5787 -3.9610 2.2155
4.8646 0.2776 8.5962
Nd Bi Pb Se
6 2 1 3
Cartesian
-4.4903 -2.1905 7.7230
-4.2893 0.3356 4.0487
-0.2988 2.4239 2.9932
0.8282 3.1675 8.9999
-5.6173 -2.9341 1.7163
-0.4998 -0.1022 6.6675
-3.5339 0.8107 7.1222
-1.2552 -0.5773 3.5941
-1.0375 1.9584 -0.0478
-4.8269 -0.0221 1.0600
0.2448 2.7853 6.0056
-5.0339 -2.5520 4.7106
```

Results
**M_tot**: 0.00 μB/cell
**Energy relative to the elements, uncorrected**: -1.31 eV per atom
**Uncorrected energy**: -5.52 eV/atom

Compound: RbHfBi2Au
Source: Alexandria
Functional: PBE-GGA
Structure: optimized geometry

POSCAR file:
```
RbHfBi2Au
1.0
-4.1914 -3.9054 -1.1500
3.0560 -3.9039 2.1196
-2.3679 0.9959 5.2482
Hf Au Bi Rb
1 1 2 1
Cartesian
-1.7516 -3.4067 3.1089
1.5280 -1.9520 1.0598
-1.1840 0.4979 2.6241
-2.0957 -1.9527 -0.5750
0.0000 0.0000 0.0000
```

Results
**ΔE_f**: 1.6532 eV per atom
**M_tot**: 0.00 μB/cell
**Uncorrected energy**: -2.74 eV/atom

Compound: NiAsW2
Source: Alexandria
Functional: PBE-GGA
Structure: optimized geometry

POSCAR file:
```
NiAsW2
1.0
-0.2947 -8.8252 0.5198
0.0744 -8.5488 -2.2703
2.3100 -8.5214 -0.5387
As Ni W
1 1 2
Cartesian
1.0342 -12.8161 -1.1329
1.5734 -19.4974 -1.7236
0.0129 -0.1603 -0.0142
0.5140 -6.3692 -0.5630
```

Results
**ΔE_f**: 0.3006 eV per atom
**M_tot**: 0.00 μB/cell
**Uncorrected energy**: -8.78 eV/atom

Compound: PrPuScO6
Source: Alexandria
Functional: PBE-GGA
Structure: optimized geometry

POSCAR file:
```
PrPuScO6
1.0
-3.5859 3.9619 1.5350
0.3940 -4.6908 2.9586
7.1268 4.2237 5.7474
Pr Pu Sc O
2 2 2 12
Cartesian
0.0000 0.0000 0.0000
3.5634 2.1118 2.8737
-0.4776 2.1336 3.4464
4.4125 1.3612 6.7947
0.8491 -0.7506 3.9209
3.0858 4.2455 6.3201
-1.0608 0.1586 3.6860
-2.4173 2.8626 3.3809
3.6848 -0.5449 7.1627
6.3522 0.6322 6.8602
1.4025 1.2891 3.6707
-0.7464 2.4581 5.4763
4.2284 1.5014 8.8549
0.2500 4.0397 3.0784
4.6813 1.0368 4.7647
-0.2935 1.9935 1.3861
2.5324 2.2057 6.5704
4.9957 3.3362 6.5550
```

Results
**M_tot**: 4.00 μB/cell
**Energy relative to the elements, uncorrected**: -3.04 eV per atom
**Uncorrected energy**: -9.18 eV/atom

Compound: Be2CdIr
Source: Alexandria
Functional: PBE-GGA
Structure: optimized geometry

POSCAR file:
```
Be2CdIr
1.0
-3.3631 1.1604 -2.3264
-2.7475 -2.9369 -1.3767
-3.9066 -0.2014 1.6635
Be Ir Cd
2 1 1
Cartesian
0.0000 0.0000 0.0000
-2.5043 -0.4945 -0.5099
-7.5128 -1.4834 -1.5297
-5.0086 -0.9889 -1.0198
```

Results
**ΔE_f**: 0.2856 eV per atom
**M_tot**: 0.00 μB/cell
**Uncorrected energy**: -4.02 eV/atom

Compound: LiCeI3
Source: Alexandria
Functional: PBE-GGA
Structure: optimized geometry

POSCAR file:
```
LiCeI3
1.0
-3.9194 -0.3867 6.3645
3.4150 -1.8784 6.3894
1.3000 6.4879 5.5959
Li Ce I
2 2 6
Cartesian
0.2224 1.3200 13.4194
0.5732 2.9028 4.9304
1.1150 5.6501 9.8318
-0.3193 -1.4273 8.5180
-0.6101 3.6512 11.6846
3.2680 3.2723 9.4885
-0.4460 4.4344 7.2842
1.4057 0.5716 6.6652
-2.4724 0.9505 8.8613
1.2416 -0.2116 11.0656
```

Results
**M_tot**: 4.02 μB/cell
**Energy relative to the elements, uncorrected**: -1.15 eV per atom
**Uncorrected energy**: -3.65 eV/atom

Compound: Cs7K4Rb
Source: Alexandria
Functional: PBE-GGA
Structure: optimized geometry

POSCAR file:
```
Cs7K4Rb
1.0
8.4078 0.0000 2.4763
3.4889 12.6516 3.6657
1.0344 1.1459 11.9998
Cs K Rb
7 4 1
Cartesian
10.3448 11.7123 11.4112
2.5863 2.0852 6.7306
2.9443 7.6592 5.5148
9.9868 6.1383 12.6270
5.4221 9.9489 12.6137
4.2039 0.0000 1.2381
7.5090 3.8486 5.5281
6.2218 4.6774 9.8984
6.7093 9.1201 8.2434
9.0028 9.3151 15.9680
3.9283 4.4824 2.1738
0.0000 0.0000 0.0000
```

Results
**ΔE_f**: 0.0380 eV per atom
**M_tot**: 0.00 μB/cell
**Uncorrected energy**: -0.91 eV/atom

Compound: Rb3SrCu
Source: Alexandria
Functional: PBE-GGA
Structure: optimized geometry

POSCAR file:
```
Rb3SrCu
1.0
6.8772 0.0000 0.0000
0.0000 6.8772 0.0000
0.0000 0.0000 6.8772
Sr Cu Rb
1 1 3
Cartesian
3.4386 3.4386 3.4386
0.0000 0.0000 0.0000
0.0000 3.4386 0.0000
0.0000 0.0000 3.4386
3.4386 0.0000 0.0000
```

Results
**ΔE_f**: 0.3386 eV per atom
**Energy relative to the lowest polymorph listed for this composition**: 0.000 eV per atom
**M_tot**: 0.00 μB/cell
**Uncorrected energy**: -1.40 eV/atom

Compound: Dy4Y2ErTm2
Source: Alexandria
Functional: PBE-GGA
Structure: optimized geometry

POSCAR file:
```
Dy4Y2ErTm2
1.0
3.5683 0.0000 0.0000
-1.7842 9.2574 -0.4888
0.0000 -3.6643 8.7215
Dy Y Er Tm
4 2 1 2
Cartesian
1.7842 3.3933 5.5073
0.0000 2.1999 2.7253
1.7842 -0.8781 2.8766
0.0000 6.4713 5.3560
1.7842 5.2983 2.5594
0.0000 0.2949 5.6732
0.0000 0.0000 0.0000
0.0000 2.5092 8.3849
1.7842 3.0839 -0.1523
```

Results
**ΔE_f**: 0.0064 eV per atom
**M_tot**: 0.00 μB/cell
**Uncorrected energy**: -4.98 eV/atom

Compound: La2ScW
Source: Alexandria
Functional: PBE-GGA
Structure: optimized geometry

POSCAR file:
```
La2ScW
1.0
2.0742 -3.6452 -3.1706
3.3563 -3.5584 1.9276
-1.4730 -5.0264 0.4560
Sc W La
1 1 2
Cartesian
0.0000 0.0000 0.0000
1.9787 -6.1150 -0.3935
0.9894 -3.0575 -0.1968
2.9681 -9.1725 -0.5903
```

Results
**ΔE_f**: 0.5211 eV per atom
**Energy relative to the lowest polymorph listed for this composition**: 0.148 eV per atom
**M_tot**: 0.00 μB/cell
**Uncorrected energy**: -6.76 eV/atom

Compound: Sc3Te4
Source: Alexandria
Functional: PBE-GGA
Structure: optimized geometry

POSCAR file:
```
Sc3Te4
1.0
-1.9889 1.9889 11.9302
1.9889 -1.9889 11.9302
1.9889 1.9889 -11.9302
Sc Te
3 4
Cartesian
0.0000 0.0000 0.0000
0.0000 0.0000 16.6228
0.0000 0.0000 7.2376
0.0000 0.0000 19.5846
0.0000 0.0000 4.2758
0.0000 0.0000 13.5741
0.0000 0.0000 10.2863
```

Results
**Energy relative to the lowest polymorph listed for this composition**: 0.192 eV per atom
**M_tot**: 0.00 μB/cell
**Energy relative to the elements, uncorrected**: -1.05 eV per atom
**Uncorrected energy**: -5.56 eV/atom

Compound: La3Si3Cl2
Source: Alexandria
Functional: PBE-GGA
Structure: optimized geometry

POSCAR file:
```
La3Si3Cl2
1.0
9.3442 0.0012 -0.0055
8.3788 4.1365 -0.0055
1.4305 0.3340 10.5729
La Si Cl
6 6 4
Cartesian
13.2767 3.0997 8.9898
5.8768 1.3720 1.5721
7.5148 1.7545 5.1878
11.6387 2.7173 5.3741
9.4216 2.1996 8.7782
9.7319 2.2721 1.7836
16.6600 3.8896 0.5350
2.4934 0.5821 10.0269
2.6074 0.6087 7.6360
16.5461 3.8630 2.9259
18.2540 4.2617 6.4579
0.8995 0.2100 4.1040
4.5706 1.0671 4.1343
14.5828 3.4046 6.4276
6.5188 1.5219 9.2491
12.6346 2.9498 1.3128
```

Results
**M_tot**: 0.00 μB/cell
**Energy relative to the elements, uncorrected**: -1.33 eV per atom
**Uncorrected energy**: -5.67 eV/atom

Compound: ErBeRh
Source: Alexandria
Functional: PBE-GGA
Structure: optimized geometry

POSCAR file:
```
ErBeRh
1.0
4.3281 0.0000 2.4301
1.6177 4.2925 2.1881
-0.0062 -0.1479 5.0802
Er Be Rh
2 2 2
Cartesian
4.3959 1.5473 4.8438
1.5437 2.5973 4.8545
0.0000 0.0000 0.0000
2.1640 0.0000 1.2151
2.9729 2.1463 2.3091
2.1610 -0.0739 3.7552
```

Results
**ΔE_f**: -0.5757 eV per atom
**Energy relative to the lowest polymorph listed for this composition**: 0.072 eV per atom
**M_tot**: 0.00 μB/cell
**Uncorrected energy**: -5.79 eV/atom

Compound: KRb3Rh
Source: Alexandria
Functional: PBE-GGA
Structure: optimized geometry

POSCAR file:
```
KRb3Rh
1.0
-7.1635 -0.9178 -0.5361
1.0191 -6.9683 -1.6882
-0.3019 -1.7454 7.0220
K Rh Rb
1 1 3
Cartesian
0.0000 0.0000 0.0000
-3.2231 -4.8157 2.3988
0.5096 -3.4841 -0.8441
-0.1509 -0.8727 3.5110
-3.5818 -0.4589 -0.2680
```

Results
**ΔE_f**: 1.1419 eV per atom
**M_tot**: 0.00 μB/cell
**Uncorrected energy**: -1.13 eV/atom

Compound: DySc2Cu2
Source: Alexandria
Functional: PBE-GGA
Structure: optimized geometry

POSCAR file:
```
DySc2Cu2
1.0
-1.0235 -2.6722 -1.7210
3.4071 -2.7034 2.1713
-7.4780 -1.4486 9.9306
Dy Sc Cu
2 4 4
Cartesian
-3.6782 -5.3587 7.2625
-1.4161 -1.4655 3.1184
1.8161 -2.2847 2.4684
-6.9104 -4.5395 7.9125
-1.1523 -3.3201 5.8370
-3.9421 -3.5041 4.5439
-0.2178 -4.1516 3.3355
-4.8765 -2.6726 7.0454
-4.7733 -4.5821 9.9478
-0.3210 -2.2421 0.4331
```

Results
**ΔE_f**: -0.1828 eV per atom
**M_tot**: 0.00 μB/cell
**Uncorrected energy**: -5.27 eV/atom

Compound: CuSF2
Source: Alexandria
Functional: PBE-GGA
Structure: optimized geometry

POSCAR file:
```
CuSF2
1.0
1.7117 0.0000 6.8595
-0.8559 1.4824 6.8595
-0.8559 -1.4824 6.8595
S Cu F
1 1 2
Cartesian
0.0000 0.0000 0.0000
0.0000 0.0000 10.2893
0.0000 0.0000 18.5722
0.0000 0.0000 2.0063
```

Results
**Energy relative to the lowest polymorph listed for this composition**: 0.000 eV per atom
**M_tot**: 0.00 μB/cell
**Energy relative to the elements, uncorrected**: -0.55 eV per atom
**Uncorrected energy**: -3.54 eV/atom

Compound: Y3Er3Tl
Source: Alexandria
Functional: PBE-GGA
Structure: optimized geometry

POSCAR file:
```
Y3Er3Tl
1.0
-4.7238 1.5937 2.3107
-4.7866 -3.8262 -7.1463
1.9932 -5.1476 7.6251
Y Er Tl
6 6 2
Cartesian
-2.4257 -4.8308 1.6396
-0.7362 -2.4694 3.4649
-1.1791 -5.6245 4.7355
-5.0915 -2.5493 1.1498
-6.7810 -4.9107 -0.6754
-6.3380 -1.7556 -1.9460
-5.5469 -5.9621 2.5726
-3.3670 -0.2698 3.1029
-2.5151 -4.3048 7.6276
-1.9702 -1.4180 0.2169
-4.1501 -7.1103 -0.3134
-5.0021 -3.0753 -4.8381
-3.8094 -3.5124 4.4350
-3.7077 -3.8676 -1.6455
```

Results
**ΔE_f**: -0.0750 eV per atom
**M_tot**: 1.18 μB/cell
**Uncorrected energy**: -5.14 eV/atom

Compound: NaCrPd3
Source: Alexandria
Functional: PBE-GGA
Structure: optimized geometry

POSCAR file:
```
NaCrPd3
1.0
4.6469 0.0000 0.0000
0.0000 4.6469 0.0000
0.0000 0.0000 4.6469
Cr Pd Na
1 3 1
Cartesian
0.0000 0.0000 0.0000
0.0000 2.3235 0.0000
0.0000 0.0000 2.3235
2.3235 0.0000 0.0000
2.3235 2.3235 2.3235
```

Results
**ΔE_f**: 0.5764 eV per atom
**Energy relative to the lowest polymorph listed for this composition**: 0.000 eV per atom
**M_tot**: 0.00 μB/cell
**Uncorrected energy**: -4.73 eV/atom

Compound: GaPdIO2
Source: Alexandria
Functional: PBE-GGA
Structure: optimized geometry

POSCAR file:
```
GaPdIO2
1.0
3.7751 0.0000 0.0000
0.0000 3.7751 0.0000
0.0000 0.0000 7.1126
I O Ga Pd
1 2 1 1
Cartesian
0.0000 0.0000 3.5563
0.0000 1.8876 0.0000
1.8876 0.0000 0.0000
0.0000 0.0000 0.0000
1.8876 1.8876 3.5563
```

Results
**Energy relative to the lowest polymorph listed for this composition**: 0.000 eV per atom
**M_tot**: 0.97 μB/cell
**Energy relative to the elements, uncorrected**: -0.35 eV per atom
**Uncorrected energy**: -4.29 eV/atom